No. 1
## La3DyYHo (GGA-PBE)

Data for a relaxed La3DyYHo crystal.

Results
Symmetry ... P2_1/m, No. 11
VASP energy ... -0.1855 hartree per atom
ΔE_f ... 0.02 eV per atom
DOS(E_F) ... 19.6 states/eV per cell

a = 3.6502 Å, b = 10.9530 Å, c = 10.9221 Å
α = 109.56°, β = 90.00°, γ = 90.00°
Last column: nearest neighbours and their distance in Å.
Atoms (fractional coordinates):
La 0.2500 0.6250 0.7934  3 Y 3.63-3.66, 7 La 3.65-3.68, 2 Dy 3.72
Ho 0.2500 0.1204 0.6227  3 Dy 3.56-3.58, 4 Ho 3.57-3.65, 3 La 3.61-3.64, 2 Y 3.66
Ho 0.7500 0.8796 0.3773  3 Dy 3.56-3.58, 4 Ho 3.57-3.65, 3 La 3.61-3.64, 2 Y 3.66
La 0.2500 0.6293 0.4584  1 Y 3.62, 2 Dy 3.63, 2 Ho 3.64, 7 La 3.65-3.73
Y 0.2500 0.6278 0.1267  6 La 3.62-3.66, 4 Y 3.65-3.69, 2 Ho 3.66
Y 0.7500 0.3722 0.8733  6 La 3.62-3.66, 4 Y 3.65-3.69, 2 Ho 3.66
La 0.7500 0.8764 0.0461  3 Dy 3.61-3.74, 1 Ho 3.61, 2 Y 3.62, 6 La 3.65-3.67
La 0.2500 0.1236 0.9539  3 Dy 3.61-3.74, 1 Ho 3.61, 2 Y 3.62, 6 La 3.65-3.67
La 0.7500 0.3750 0.2066  3 Y 3.63-3.66, 7 La 3.65-3.68, 2 Dy 3.72
Dy 0.2500 0.1204 0.2950  3 Ho 3.56-3.58, 7 La 3.61-3.74, 2 Dy 3.65
La 0.7500 0.3707 0.5416  1 Y 3.62, 2 Dy 3.63, 2 Ho 3.64, 7 La 3.65-3.73
Dy 0.7500 0.8796 0.7050  3 Ho 3.56-3.58, 7 La 3.61-3.74, 2 Dy 3.65

***

No. 2
## LaDy5Y2Ho (GGA-PBE)

Data for a relaxed LaDy5Y2Ho crystal.

Results
Symmetry ... Cmc2_1, No. 36
VASP energy ... -0.1796 hartree per atom
ΔE_f ... 0.16 eV per atom
DOS(E_F) ... 30.1 states/eV per cell

a = 5.6416 Å, b = 10.2919 Å, c = 10.5789 Å
α = 90.00°, β = 90.00°, γ = 105.91°
Last column: nearest neighbours and their distance in Å.
Atoms (fractional coordinates):
Dy 0.5202 0.0404 0.2371  2 La 3.04-3.25
Dy 0.6130 0.2260 0.5227  6 Dy 3.48-3.84, 4 Y 3.55-3.59, 1 Ho 3.68
La 0.5815 0.1631 0.9526  5 Dy 3.04-3.25
Y 0.1112 0.2225 0.7326  7 Dy 3.37-3.69, 1 Ho 3.45, 2 La 3.70
Ho 0.7989 0.5979 0.5119  2 Y 3.45-3.69, 8 Dy 3.51-3.73, 2 La 3.73
Dy 0.0183 0.0367 0.0257  2 La 3.18, 2 Y 3.37-3.40
Dy 0.4798 0.9596 0.7371  2 La 3.04-3.25
Dy 0.2971 0.5943 0.7086  4 Dy 3.41-3.77, 3 Ho 3.51-3.73, 3 Y 3.53-3.69, 1 La 3.62
La 0.4185 0.8369 0.4526  5 Dy 3.04-3.25
Dy 0.9817 0.9633 0.5257  2 La 3.18, 2 Y 3.37-3.40
Y 0.1135 0.2270 0.3195  9 Dy 3.34-3.63, 1 Ho 3.69
Dy 0.7180 0.4361 0.8132  1 La 3.08, 1 Y 3.34, 2 Dy 3.41
Y 0.8888 0.7775 0.2326  7 Dy 3.37-3.69, 1 Ho 3.45, 2 La 3.70
Dy 0.2820 0.5639 0.3132  1 La 3.08, 1 Y 3.34, 2 Dy 3.41
Dy 0.7029 0.4057 0.2086  4 Dy 3.41-3.77, 3 Ho 3.51-3.73, 3 Y 3.53-3.69, 1 La 3.62
Y 0.8865 0.7730 0.8195  9 Dy 3.34-3.63, 1 Ho 3.69
Dy 0.3870 0.7740 0.0227  6 Dy 3.48-3.84, 4 Y 3.55-3.59, 1 Ho 3.68
Ho 0.2011 0.4021 0.0119  2 Y 3.45-3.69, 8 Dy 3.51-3.73, 2 La 3.73